(1)
The following is a DFT calculation (PBE) of a relaxed SrNiGe2 crystal.

Geometry as POSCAR:
```
SrNiGe2
1.0
6.834 0.000 0.000
0.000 6.834 0.000
0.000 0.000 6.834
Sr Ni Ge
4 4 8
direct
0.000 0.000 0.000
0.000 0.500 0.500
0.500 0.000 0.500
0.500 0.500 0.000
0.250 0.250 0.250
0.250 0.750 0.750
0.750 0.250 0.750
0.750 0.750 0.250
0.000 0.000 0.500
0.000 0.500 0.000
0.250 0.250 0.750
0.250 0.750 0.250
0.500 0.000 0.000
0.500 0.500 0.500
0.750 0.250 0.250
0.750 0.750 0.750
```

space-group type	F-43m
mass density	6.068	g/cm³
calculated volume	19.95	A^3/atom
magnetic moment	0.00	μB/atom
E_tot	-4.037	eV per atom

(2)
The following is a DFT calculation (PBE) of a relaxed La2Dy2SiI5 crystal.

Geometry as POSCAR:
```
La2Dy2SiI5
1.0
9.746 -2.150 0.000
9.746 2.150 0.000
-1.984 0.000 9.058
La Dy Si I
2 2 1 5
direct
0.001 0.001 0.284
0.999 0.999 0.716
0.357 0.357 0.428
0.643 0.643 0.572
0.500 0.500 0.500
0.171 0.171 0.819
0.177 0.177 0.349
0.500 0.500 0.000
0.823 0.823 0.651
0.829 0.829 0.181
```

space-group type	C2/m
mass density	5.536	g/cm³
calculated volume	37.96	A^3/atom
magnetic moment	0.00	μB/atom
E_tot	-4.462	eV per atom

(3)
The following is a DFT calculation (PBE) of a relaxed ErLu2In3Cu3 crystal.

Geometry as POSCAR:
```
ErLu2In3Cu3
1.0
3.786 0.000 0.000
0.000 6.479 3.733
0.000 -6.479 3.733
Er Lu In Cu
1 2 3 3
direct
0.000 0.000 0.000
0.000 0.407 0.814
0.000 0.814 0.407
0.500 0.147 0.408
0.500 0.408 0.147
0.500 0.667 0.667
0.000 0.408 0.408
0.500 0.075 0.739
0.500 0.739 0.075
```

space-group type	Amm2
mass density	9.542	g/cm³
calculated volume	20.35	A^3/atom
magnetic moment	0.00	μB/atom
E_tot	-4.068	eV per atom

(4)
The following is a DFT calculation (PBE) of a relaxed YNi2Ge crystal.

Geometry as POSCAR:
```
YNi2Ge
1.0
4.065 0.000 0.000
0.000 5.881 0.000
0.000 0.000 5.520
Y Ni Ge
2 4 2
direct
0.000 0.095 0.000
0.500 0.905 0.500
0.000 0.286 0.509
0.000 0.638 0.256
0.500 0.362 0.756
0.500 0.714 0.009
0.000 0.615 0.785
0.500 0.385 0.285
```

space-group type	Pmn2_1
mass density	7.020	g/cm³
calculated volume	16.50	A^3/atom
magnetic moment	0.00	μB/atom
E_tot	-6.102	eV per atom